Entry 1:
The following is a PBE calculation of a relaxed LaCuRh crystal, from Alexandria via LeMat-Bulk.

a = 5.5559 Å, b = 8.2643 Å, c = 5.4424 Å
α = 90.00°, β = 90.00°, γ = 90.00°
Space group Cmcm (No. 63)
Unique sites:
La (0.0000, 0.1600, 0.2500)
Cu (0.0000, 0.5000, 0.0000)
Rh (0.0000, 0.2307, 0.7500)

Results
Its crystal system is orthorhombic. As for the total magnetization: 0.000 Bohr magnetons per cell. As for the formation energy: -0.361 eV per atom. For the relative energy among the computed polymorphs, the calculation gives 0.42 eV per formula unit. Its density of states at the Fermi level is 6.48 states/eV per cell.


Entry 2:
The following is a PBE calculation of a relaxed RbTiS2 crystal, from Alexandria via LeMat-Bulk.

a = 7.2583 Å, b = 4.8964 Å, c = 11.1041 Å
α = 90.00°, β = 90.00°, γ = 90.00°
Space group Pnma (No. 62)
Unique sites:
Rb (0.0931, 0.2500, 0.1241)
Ti (0.0403, 0.7500, 0.3839)
S (0.0885, 0.2500, 0.4176)
S (0.1748, 0.2500, 0.7669)

Results
Its crystal system is orthorhombic. As for the total magnetization: 0.002 Bohr magnetons per cell. Its density of states at the Fermi level is 9.12 states/eV per cell. The calculation puts the uncorrected formation energy at -1.244 eV/atom.


Entry 3:
The following is a PBE calculation of a relaxed CdSiRu2 crystal, from Alexandria via LeMat-Bulk.

a = 2.9137 Å, b = 4.7957 Å, c = 9.1859 Å
α = 90.00°, β = 90.00°, γ = 90.00°
Space group Cmm2 (No. 35)
Unique sites:
Cd (0.0000, 0.0000, 0.0000)
Si (0.0000, 0.5000, 0.2903)
Ru (0.0000, 0.0000, 0.4950)
Ru (0.0000, 0.5000, 0.7355)

Results
Its crystal system is orthorhombic. As for the total magnetization: 1.481 Bohr magnetons per cell. Its density of states at the Fermi level is 8.81 states/eV per cell. The calculation puts the uncorrected formation energy at 0.387 eV/atom.


Entry 4:
The following is a PBE calculation of a relaxed AcHS crystal, from Alexandria via LeMat-Bulk.

a = 4.1757 Å, b = 4.1757 Å, c = 4.0891 Å
α = 90.00°, β = 90.00°, γ = 120.00°
Space group P-6m2 (No. 187)
Unique sites:
Ac (0.0000, 0.0000, 0.0000)
H (0.3333, 0.6667, 0.0000)
S (0.6667, 0.3333, 0.5000)

Results
Its crystal system is hexagonal. As for the total magnetization: 0.000 Bohr magnetons per cell. For the relative energy among the computed polymorphs, the calculation gives 0.17 eV per formula unit. Its density of states at the Fermi level is 0.00 states/eV per cell.


Entry 5:
The following is a PBE calculation of a relaxed Al2CuCl crystal, from Alexandria via LeMat-Bulk.

a = 3.7555 Å, b = 3.7555 Å, c = 10.8159 Å
α = 90.00°, β = 90.00°, γ = 90.00°
Space group I-4m2 (No. 119)
Unique sites:
Al (0.0000, 0.0000, 0.0000)
Al (0.0000, 0.5000, 0.2500)
Cu (0.0000, 0.0000, 0.5000)
Cl (0.0000, 0.5000, 0.7500)

Results
Its crystal system is tetragonal. As for the total magnetization: 0.000 Bohr magnetons per cell. For the relative energy among the computed polymorphs, the calculation gives 1.80 eV per formula unit. Its density of states at the Fermi level is 1.64 states/eV per cell. The calculation puts the uncorrected formation energy at 0.224 eV/atom.


Entry 6:
The following is a PBE calculation of a relaxed HfMg3Zn4 crystal, from Alexandria via LeMat-Bulk.

a = 4.4794 Å, b = 4.4794 Å, c = 14.2356 Å
α = 90.00°, β = 90.00°, γ = 90.00°
Space group I4/mmm (No. 139)
Unique sites:
Hf (0.0000, 0.0000, 0.0000)
Mg (0.0000, 0.0000, 0.2417)
Mg (0.0000, 0.0000, 0.5000)
Zn (0.0000, 0.5000, 0.1234)

Results
Its crystal system is tetragonal. As for the total magnetization: 0.000 Bohr magnetons per cell. As for the formation energy: -0.110 eV per atom. Its density of states at the Fermi level is 5.93 states/eV per cell.


Short version: final energy = -5.8190; -5.5233; -5.8351; -5.3931; -3.1328; -2.5889 eV per atom, in the order given.